Record 1
VASP calculation (PBE) on an optimized crystal structure of Dy2Pu3UAs6.

Output
D(E_F), states/eV per cell: 32.21
Formation energy from the elements, meV per atom: -1153
M_tot, μB/f.u.: 17.676

```
Dy2Pu3UAs6
1.0
8.961 -2.061 0.000
8.961 2.061 0.000
-1.834 0.000 8.043
Dy Pu U As
2 3 1 6
direct
0.168 0.168 0.337
0.832 0.832 0.663
0.167 0.167 0.834
0.500 0.500 0.500
0.833 0.833 0.166
0.500 0.500 0.000
0.000 0.000 0.246
0.000 0.000 0.754
0.334 0.334 0.414
0.335 0.335 0.916
0.665 0.665 0.084
0.666 0.666 0.586
```

Record 2
VASP calculation (PBE) on an optimized crystal structure of DyY2PuAs4.

Output
D(E_F), states/eV per cell: 13.10
Formation energy from the elements, meV per atom: -1409
M_tot, μB/f.u.: 4.932

```
DyY2PuAs4
1.0
7.137 0.000 0.000
0.000 4.133 0.000
-2.379 0.000 6.730
Dy Y Pu As
1 2 1 4
direct
0.000 0.000 0.000
0.500 0.000 0.500
0.500 0.500 0.000
0.000 0.500 0.500
0.248 0.000 0.749
0.249 0.500 0.250
0.751 0.500 0.750
0.752 0.000 0.251
```

Record 3
VASP calculation (PBE) on an optimized crystal structure of DyPu2ZrAs4.

Output
D(E_F), states/eV per cell: 20.75
Formation energy from the elements, meV per atom: -1199
M_tot, μB/f.u.: 10.390

```
DyPu2ZrAs4
1.0
7.009 0.000 0.000
0.000 4.057 0.000
-2.342 0.000 6.651
Dy Pu Zr As
1 2 1 4
direct
0.000 0.000 0.000
0.500 0.000 0.500
0.500 0.500 0.000
0.000 0.500 0.500
0.240 0.000 0.739
0.245 0.500 0.257
0.755 0.500 0.743
0.760 0.000 0.261
```

Record 4
VASP calculation (PBE) on an optimized crystal structure of DyPuZr2As4.

Output
D(E_F), states/eV per cell: 12.15
Formation energy from the elements, meV per atom: -1231
M_tot, μB/f.u.: 5.472

```
DyPuZr2As4
1.0
6.883 0.000 0.000
0.000 3.979 0.000
-2.292 0.000 6.559
Dy Pu Zr As
1 1 2 4
direct
0.000 0.000 0.000
0.500 0.500 0.000
0.000 0.500 0.500
0.500 0.000 0.500
0.245 0.000 0.736
0.254 0.500 0.263
0.746 0.500 0.737
0.755 0.000 0.264
```